A plane-wave DFT calculation with PBE was carried out for a relaxed structure of Y2MoPS.

Geometry as CIF:
```
data_Y2MoPS
_cell_length_a 5.315
_cell_length_b 5.315
_cell_length_c 4.389
_cell_angle_alpha 90.00
_cell_angle_beta 90.00
_cell_angle_gamma 90.00
_space_group_name_H-M_alt 'P 1'
_space_group_IT_number 1
loop_
_space_group_symop_operation_xyz
'x,y,z'
loop_
_atom_site_label
_atom_site_type_symbol
_atom_site_fract_x
_atom_site_fract_y
_atom_site_fract_z
_atom_site_occupancy
Y1 Y 0.000 0.500 0.000 1
Y2 Y 0.500 0.000 0.000 1
Mo1 Mo 0.000 0.000 0.500 1
P1 P 0.000 0.000 0.000 1
S1 S 0.500 0.500 0.500 1
```

Summary:
- space group = P4/mmm (123)
- raw formation energy (eV/atom) = -0.25
- DFT total energy (eV/atom) = -6.91
- DOS at the Fermi energy (states/eV/f.u.) = 4.81



A plane-wave DFT calculation with PBE was carried out for a relaxed structure of YMoP2S.

Geometry as CIF:
```
data_YMoP2S
_cell_length_a 5.213
_cell_length_b 5.213
_cell_length_c 5.092
_cell_angle_alpha 90.00
_cell_angle_beta 90.00
_cell_angle_gamma 90.00
_space_group_name_H-M_alt 'P 1'
_space_group_IT_number 1
loop_
_space_group_symop_operation_xyz
'x,y,z'
loop_
_atom_site_label
_atom_site_type_symbol
_atom_site_fract_x
_atom_site_fract_y
_atom_site_fract_z
_atom_site_occupancy
Y1 Y 0.000 0.000 0.000 1
Mo1 Mo 0.500 0.500 0.500 1
P1 P 0.000 0.500 0.000 1
P2 P 0.500 0.000 0.000 1
S1 S 0.000 0.000 0.500 1
```

Summary:
- space group = P4/mmm (123)
- raw formation energy (eV/atom) = 0.95
- DFT total energy (eV/atom) = -5.50
- DOS at the Fermi energy (states/eV/f.u.) = 5.13



A plane-wave DFT calculation with PBE was carried out for a relaxed structure of YMoP2S.

Geometry as CIF:
```
data_YMoP2S
_cell_length_a 4.590
_cell_length_b 4.590
_cell_length_c 4.995
_cell_angle_alpha 90.00
_cell_angle_beta 90.00
_cell_angle_gamma 90.00
_space_group_name_H-M_alt 'P 1'
_space_group_IT_number 1
loop_
_space_group_symop_operation_xyz
'x,y,z'
loop_
_atom_site_label
_atom_site_type_symbol
_atom_site_fract_x
_atom_site_fract_y
_atom_site_fract_z
_atom_site_occupancy
Y1 Y 0.000 0.000 0.000 1
Mo1 Mo 0.500 0.500 0.500 1
P1 P 0.000 0.500 0.500 1
P2 P 0.500 0.000 0.500 1
S1 S 0.500 0.500 0.000 1
```

Summary:
- space group = P4/mmm (123)
- raw formation energy (eV/atom) = -0.29
- DFT total energy (eV/atom) = -6.74
- DOS at the Fermi energy (states/eV/f.u.) = 3.44



A plane-wave DFT calculation with PBE was carried out for a relaxed structure of YMoPS2.

Geometry as CIF:
```
data_YMoPS2
_cell_length_a 5.133
_cell_length_b 5.133
_cell_length_c 5.304
_cell_angle_alpha 90.00
_cell_angle_beta 90.00
_cell_angle_gamma 90.00
_space_group_name_H-M_alt 'P 1'
_space_group_IT_number 1
loop_
_space_group_symop_operation_xyz
'x,y,z'
loop_
_atom_site_label
_atom_site_type_symbol
_atom_site_fract_x
_atom_site_fract_y
_atom_site_fract_z
_atom_site_occupancy
Y1 Y 0.000 0.000 0.000 1
Mo1 Mo 0.500 0.500 0.500 1
P1 P 0.000 0.000 0.500 1
S1 S 0.000 0.500 0.000 1
S2 S 0.500 0.000 0.000 1
```

Summary:
- space group = P4/mmm (123)
- raw formation energy (eV/atom) = 0.60
- DFT total energy (eV/atom) = -5.60
- DOS at the Fermi energy (states/eV/f.u.) = 4.69



A plane-wave DFT calculation with PBE was carried out for a relaxed structure of ZnMoP2S.

Geometry as CIF:
```
data_ZnMoP2S
_cell_length_a 4.469
_cell_length_b 4.469
_cell_length_c 4.545
_cell_angle_alpha 90.00
_cell_angle_beta 90.00
_cell_angle_gamma 90.00
_space_group_name_H-M_alt 'P 1'
_space_group_IT_number 1
loop_
_space_group_symop_operation_xyz
'x,y,z'
loop_
_atom_site_label
_atom_site_type_symbol
_atom_site_fract_x
_atom_site_fract_y
_atom_site_fract_z
_atom_site_occupancy
Zn1 Zn 0.000 0.000 0.000 1
Mo1 Mo 0.500 0.500 0.500 1
P1 P 0.000 0.500 0.000 1
P2 P 0.500 0.000 0.000 1
S1 S 0.000 0.000 0.500 1
```

Summary:
- space group = P4/mmm (123)
- raw formation energy (eV/atom) = 1.30
- DFT total energy (eV/atom) = -4.11
- DOS at the Fermi energy (states/eV/f.u.) = 7.82



A plane-wave DFT calculation with PBE was carried out for a relaxed structure of ZnMoP2S.

Geometry as CIF:
```
data_ZnMoP2S
_cell_length_a 4.786
_cell_length_b 4.786
_cell_length_c 4.568
_cell_angle_alpha 90.00
_cell_angle_beta 90.00
_cell_angle_gamma 90.00
_space_group_name_H-M_alt 'P 1'
_space_group_IT_number 1
loop_
_space_group_symop_operation_xyz
'x,y,z'
loop_
_atom_site_label
_atom_site_type_symbol
_atom_site_fract_x
_atom_site_fract_y
_atom_site_fract_z
_atom_site_occupancy
Zn1 Zn 0.000 0.000 0.000 1
Mo1 Mo 0.500 0.500 0.500 1
P1 P 0.000 0.500 0.500 1
P2 P 0.500 0.000 0.500 1
S1 S 0.500 0.500 0.000 1
```

Summary:
- space group = P4/mmm (123)
- raw formation energy (eV/atom) = 0.42
- DFT total energy (eV/atom) = -4.99
- DOS at the Fermi energy (states/eV/f.u.) = 3.56



A plane-wave DFT calculation with PBE was carried out for a relaxed structure of ZrMoPS2.

Geometry as CIF:
```
data_ZrMoPS2
_cell_length_a 4.889
_cell_length_b 4.889
_cell_length_c 5.133
_cell_angle_alpha 90.00
_cell_angle_beta 90.00
_cell_angle_gamma 90.00
_space_group_name_H-M_alt 'P 1'
_space_group_IT_number 1
loop_
_space_group_symop_operation_xyz
'x,y,z'
loop_
_atom_site_label
_atom_site_type_symbol
_atom_site_fract_x
_atom_site_fract_y
_atom_site_fract_z
_atom_site_occupancy
Zr1 Zr 0.000 0.000 0.000 1
Mo1 Mo 0.500 0.500 0.500 1
P1 P 0.000 0.000 0.500 1
S1 S 0.000 0.500 0.000 1
S2 S 0.500 0.000 0.000 1
```

Summary:
- space group = P4/mmm (123)
- raw formation energy (eV/atom) = 0.41
- DFT total energy (eV/atom) = -6.20
- DOS at the Fermi energy (states/eV/f.u.) = 3.36



A plane-wave DFT calculation with PBE was carried out for a relaxed structure of ZrMoP2S.

Geometry as CIF:
```
data_ZrMoP2S
_cell_length_a 4.681
_cell_length_b 4.681
_cell_length_c 4.583
_cell_angle_alpha 90.00
_cell_angle_beta 90.00
_cell_angle_gamma 90.00
_space_group_name_H-M_alt 'P 1'
_space_group_IT_number 1
loop_
_space_group_symop_operation_xyz
'x,y,z'
loop_
_atom_site_label
_atom_site_type_symbol
_atom_site_fract_x
_atom_site_fract_y
_atom_site_fract_z
_atom_site_occupancy
Zr1 Zr 0.000 0.000 0.000 1
Mo1 Mo 0.500 0.500 0.500 1
P1 P 0.000 0.500 0.500 1
P2 P 0.500 0.000 0.500 1
S1 S 0.500 0.500 0.000 1
```

Summary:
- space group = P4/mmm (123)
- raw formation energy (eV/atom) = 0.24
- DFT total energy (eV/atom) = -6.62
- DOS at the Fermi energy (states/eV/f.u.) = 4.95



A plane-wave DFT calculation with PBE was carried out for a relaxed structure of ZrMoP2S.

Geometry as CIF:
```
data_ZrMoP2S
_cell_length_a 5.017
_cell_length_b 5.017
_cell_length_c 4.866
_cell_angle_alpha 90.00
_cell_angle_beta 90.00
_cell_angle_gamma 90.00
_space_group_name_H-M_alt 'P 1'
_space_group_IT_number 1
loop_
_space_group_symop_operation_xyz
'x,y,z'
loop_
_atom_site_label
_atom_site_type_symbol
_atom_site_fract_x
_atom_site_fract_y
_atom_site_fract_z
_atom_site_occupancy
Zr1 Zr 0.000 0.000 0.000 1
Mo1 Mo 0.500 0.500 0.500 1
P1 P 0.000 0.500 0.000 1
P2 P 0.500 0.000 0.000 1
S1 S 0.000 0.000 0.500 1
```

Summary:
- space group = P4/mmm (123)
- raw formation energy (eV/atom) = 0.71
- DFT total energy (eV/atom) = -6.16
- DOS at the Fermi energy (states/eV/f.u.) = 3.20



A plane-wave DFT calculation with PBE was carried out for a relaxed structure of ZrMoPS2.

Geometry as CIF:
```
data_ZrMoPS2
_cell_length_a 4.597
_cell_length_b 4.597
_cell_length_c 4.769
_cell_angle_alpha 90.00
_cell_angle_beta 90.00
_cell_angle_gamma 90.00
_space_group_name_H-M_alt 'P 1'
_space_group_IT_number 1
loop_
_space_group_symop_operation_xyz
'x,y,z'
loop_
_atom_site_label
_atom_site_type_symbol
_atom_site_fract_x
_atom_site_fract_y
_atom_site_fract_z
_atom_site_occupancy
Zr1 Zr 0.000 0.000 0.000 1
Mo1 Mo 0.500 0.500 0.500 1
P1 P 0.500 0.500 0.000 1
S1 S 0.000 0.500 0.500 1
S2 S 0.500 0.000 0.500 1
```

Summary:
- space group = P4/mmm (123)
- raw formation energy (eV/atom) = 0.11
- DFT total energy (eV/atom) = -6.50
- DOS at the Fermi energy (states/eV/f.u.) = 5.32



A plane-wave DFT calculation with PBE was carried out for a relaxed structure of Sb2MoP.

Geometry as CIF:
```
data_Sb2MoP
_cell_length_a 4.904
_cell_length_b 4.904
_cell_length_c 3.326
_cell_angle_alpha 90.00
_cell_angle_beta 90.00
_cell_angle_gamma 102.94
_space_group_name_H-M_alt 'P 1'
_space_group_IT_number 1
loop_
_space_group_symop_operation_xyz
'x,y,z'
loop_
_atom_site_label
_atom_site_type_symbol
_atom_site_fract_x
_atom_site_fract_y
_atom_site_fract_z
_atom_site_occupancy
Sb1 Sb 0.000 0.500 0.000 1
Sb2 Sb 0.500 0.000 0.000 1
Mo1 Mo 0.000 0.000 0.500 1
P1 P 0.500 0.500 0.500 1
```

Summary:
- space group = Cmmm (65)
- raw formation energy (eV/atom) = 0.57
- DFT total energy (eV/atom) = -5.55
- DOS at the Fermi energy (states/eV/f.u.) = 3.86



A plane-wave DFT calculation with PBE was carried out for a relaxed structure of Sb2MoP.

Geometry as CIF:
```
data_Sb2MoP
_cell_length_a 7.293
_cell_length_b 7.293
_cell_length_c 7.293
_cell_angle_alpha 151.64
_cell_angle_beta 150.57
_cell_angle_gamma 41.33
_space_group_name_H-M_alt 'P 1'
_space_group_IT_number 1
loop_
_space_group_symop_operation_xyz
'x,y,z'
loop_
_atom_site_label
_atom_site_type_symbol
_atom_site_fract_x
_atom_site_fract_y
_atom_site_fract_z
_atom_site_occupancy
Sb1 Sb 0.000 0.000 0.000 1
Sb2 Sb 0.724 0.224 0.500 1
Mo1 Mo 0.402 0.402 0.000 1
P1 P 0.279 0.779 0.500 1
```

Summary:
- space group = Imm2 (44)
- raw formation energy (eV/atom) = 0.19
- DFT total energy (eV/atom) = -5.93
- DOS at the Fermi energy (states/eV/f.u.) = 2.86